A relaxed structure of GeBiRh3, computed with PBE.

Computed properties:
energy above the lowest structure with this stoichiometry	0.9922	eV/atom
calculated formation energy	1267	meV per atom
DOS(E_F)	8.5	states/eV/f.u.
final energy	-4.844	eV per atom

abc: 4.973 4.973 4.973
angles: 90.00 90.00 90.00
Space group Pm-3m (No. 221)
Inequivalent atoms, fractional coordinates:
Ge 0.000 0.000 0.000 [1 per cell]
Bi 0.500 0.500 0.500 [1 per cell]
Rh 0.000 0.500 0.500 [3 per cell]


A relaxed structure of CrIr2WBr, computed with PBE.

Computed properties:
DOS(E_F)	8.8	states/eV/f.u.
final energy	-6.680	eV per atom
uncorrected formation energy	8.6	eV/f.u.

abc: 4.535 4.535 4.634
angles: 90.00 90.00 90.00
Space group P4/mmm (No. 123)
Inequivalent atoms, fractional coordinates:
Cr 0.000 0.000 0.000 [1 per cell]
Ir 0.000 0.500 0.000 [2 per cell]
W 0.000 0.000 0.500 [1 per cell]
Br 0.500 0.500 0.500 [1 per cell]


A relaxed structure of Tl3BN, computed with PBE.

Computed properties:
energy above the lowest structure with this stoichiometry	0.0000	eV/atom
DOS(E_F)	5.4	states/eV/f.u.
final energy	-2.990	eV per atom
uncorrected formation energy	7.2	eV/f.u.

abc: 4.854 4.854 4.854
angles: 90.00 90.00 90.00
Space group Pm-3m (No. 221)
Inequivalent atoms, fractional coordinates:
Tl 0.000 0.000 0.500 [3 per cell]
B 0.000 0.000 0.000 [1 per cell]
N 0.500 0.500 0.500 [1 per cell]


A relaxed structure of PrAl2SiRh2, computed with PBE.

Computed properties:
DOS(E_F)	4.6	states/eV/f.u.
final energy	-6.024	eV per atom
uncorrected formation energy	-3.8	eV/f.u.

abc: 4.502 4.502 5.711
angles: 90.00 90.00 90.00
Space group P4/mmm (No. 123)
Inequivalent atoms, fractional coordinates:
Pr 0.000 0.000 0.000 [1 per cell]
Al 0.500 0.500 0.246 [2 per cell]
Si 0.000 0.000 0.500 [1 per cell]
Rh 0.000 0.500 0.500 [2 per cell]